Compound: TbPrY
Source: OQMD via LeMat-Bulk
Functional: GGA-PBE
Structure: optimized geometry

Output
space-group type	No. 216
magnetic moment	0.0	μB/f.u.
formation energy from the elements	736	meV per atom
uncorrected energy	-13.66	eV/f.u.
E above lowest polymorph	0	meV/atom
crystal system	cubic

a b c (Å): 5.5239 5.5239 5.5239
angles (deg): 60.00 60.00 60.00
Fractional positions:
Pr: 0.2500 0.2500 0.2500
Tb: 0.7500 0.7500 0.7500
Y: 0.0000 0.0000 0.0000